# 1
This record from Alexandria describes a geometry-optimized Ta2CdCo structure. The functional is PBEsol.

For the calculated formation energy, the calculation gives 1.0 eV per formula unit.

The structure belongs to space group R-3m (No. 166, hexagonal axes); the cell edges are 2.8603, 2.8603 and 27.5857 Å and the angles 90.00°, 90.00° and 120.00°. The inequivalent atoms are Ta at (0.0000, 0.0000, 0.2400), Cd at (0.0000, 0.0000, 0.0000) and Co at (0.0000, 0.0000, 0.5000).

=====

# 2
This record from Alexandria describes a geometry-optimized TaCdCo2 structure. The functional is PBEsol.

For the calculated formation energy, the calculation gives 0.4 eV per formula unit.

The structure belongs to space group P4/mmm (No. 123); the cell edges are 4.2395, 4.2395 and 3.0627 Å and the angles 90.00°, 90.00° and 90.00°. The inequivalent atoms are Ta at (0.0000, 0.0000, 0.0000), Cd at (0.5000, 0.5000, 0.0000) and Co at (0.0000, 0.5000, 0.5000).

=====

# 3
This record from Alexandria describes a geometry-optimized Ta2CdCo structure. The functional is PBEsol.

For the calculated formation energy, the calculation gives 1.0 eV per formula unit.

The structure belongs to space group P4/mmm (No. 123); the cell edges are 3.9211, 3.9211 and 4.1106 Å and the angles 90.00°, 90.00° and 90.00°. The inequivalent atoms are Ta at (0.0000, 0.5000, 0.0000), Cd at (0.0000, 0.0000, 0.5000) and Co at (0.5000, 0.5000, 0.5000).

=====

# 4
This record from Alexandria describes a geometry-optimized TaCd2Co2 structure. The functional is PBEsol.

For the calculated formation energy, the calculation gives 2.9 eV per formula unit.

The structure belongs to space group I4/mmm (No. 139); the cell edges are 3.0717, 3.0717 and 17.5662 Å and the angles 90.00°, 90.00° and 90.00°. The inequivalent atoms are Ta at (0.0000, 0.0000, 0.0000), Cd at (0.0000, 0.0000, 0.3809) and Co at (0.0000, 0.5000, 0.2500).

=====

# 5
This record from Alexandria describes a geometry-optimized Ta2CdCo structure. The functional is PBEsol.

For the calculated formation energy, the calculation gives 0.8 eV per formula unit.

The structure belongs to space group Immm (No. 71); the cell edges are 3.2150, 4.3918 and 8.9878 Å and the angles 90.00°, 90.00° and 90.00°. The inequivalent atoms are Ta at (0.0000, 0.0000, 0.2303), Cd at (0.0000, 0.5000, 0.0000) and Co at (0.0000, 0.5000, 0.5000).

=====

# 6
This record from Alexandria describes a geometry-optimized TaCdCo2 structure. The functional is PBEsol.

For the calculated formation energy, the calculation gives 0.6 eV per formula unit.

The structure belongs to space group Cm (No. 8); the cell edges are 9.3723, 2.7428 and 4.5024 Å and the angles 90.00°, 106.00° and 90.00°. The inequivalent atoms are Ta at (0.0000, 0.0000, 0.0000), Cd at (0.2183, 0.0000, 0.6451), Co at (0.2593, 0.5000, 0.1702) and Co at (0.4631, 0.0000, 0.4661).

=====

# 7
This record from Alexandria describes a geometry-optimized Ta2CdCo structure. The functional is PBEsol.

For the calculated formation energy, the calculation gives 0.3 eV per formula unit.

The structure belongs to space group P4mm (No. 99); the cell edges are 2.8688, 2.8688 and 7.8506 Å and the angles 90.00°, 90.00° and 90.00°. The inequivalent atoms are Ta at (0.0000, 0.0000, 0.0000), Ta at (0.5000, 0.5000, 0.2848), Cd at (0.0000, 0.0000, 0.5746) and Co at (0.5000, 0.5000, 0.8117).

=====

# 8
This record from Alexandria describes a geometry-optimized Ta3CdCo structure. The functional is PBEsol.

For the calculated formation energy, the calculation gives 3.5 eV per formula unit.

The structure belongs to space group Pm-3m (No. 221); the cell edges are 4.5553, 4.5553 and 4.5553 Å and the angles 90.00°, 90.00° and 90.00°. The inequivalent atoms are Ta at (0.0000, 0.0000, 0.5000), Cd at (0.5000, 0.5000, 0.5000) and Co at (0.0000, 0.0000, 0.0000).

=====

Short version: magnetic moment = 0.29; 0.81; 0.41; 2.96; 0.00; 1.12; 0.00; 0.00 μB per formula unit, in the order given.
Short version: electronic total energy = -8.27; -7.21; -8.27; -5.51; -8.31; -7.15; -8.43; -8.62 eV/atom, in the order given.